(1)
Computed, not measured: Y4OsAu after structural relaxation at the PBE-GGA level of DFT.

- energy above the lowest structure with this stoichiometry (meV/atom) = 0
- energy of formation (eV/atom) = -0.4472
- space-group type = No. 15

Cell and atoms, written as extended XYZ:
```
12
Lattice="6.2103 0.0050 -0.7978 -1.4742 6.6920 -3.1417 -0.0977 0.2560 7.5333" Properties=species:S:1:pos:R:3 pbc="T T T"
Y 3.2354 1.5624 1.6336
Os 0.0799 6.6864 -3.3299
Au 3.6945 4.3067 0.2225
Y 1.8071 4.8642 -2.1153
Y 2.8313 2.0888 5.7091
Au 0.9440 2.6463 3.3713
Y -0.0769 2.5287 0.4256
Y 4.7154 4.4243 3.1682
Y 5.8120 0.6600 4.4634
Y 1.4031 5.3906 1.9602
Y -1.1735 6.2930 -0.8695
Os 4.5586 0.2666 6.9237
```

---

(2)
Computed, not measured: La12Sm5Er after structural relaxation at the PBE-GGA level of DFT.

- energy of formation (eV/atom) = 0.0188
- space-group type = No. 12

Cell and atoms, written as extended XYZ:
```
18
Lattice="11.0187 -0.0039 -0.0123 5.5089 9.6068 -0.6610 0.0091 -1.7567 6.1635" Properties=species:S:1:pos:R:3 pbc="T T T"
La 3.6211 -0.0005 -0.0039
La 14.6790 8.7245 2.4102
Sm 11.0267 4.6475 5.7088
La 7.3855 2.3215 2.8579
Sm 5.5139 -0.8802 3.0756
La 7.3838 4.6524 5.7179
La 9.1513 5.5248 2.6323
La 12.8933 5.5255 2.6274
La 3.6434 2.3209 2.8628
La 14.6700 4.6514 5.7094
La 1.8667 3.1950 -0.2192
La 9.1529 3.1940 -0.2277
Sm 5.5134 5.5327 2.6511
La 1.8577 -0.8782 3.0800
Sm 11.0233 2.3136 2.8391
Sm 5.5100 3.1989 -0.2186
Er 0.0000 0.0000 0.0000
La 12.9156 7.8468 5.4941
```

---

Number 1: DFT total energy -7.17 eV/atom. Number 2: DFT total energy -4.83 eV/atom.